{
  "formula": "Ti7Nb2Bi3",
  "functional": "PBE",
  "state": "relaxed",
  "energy_ev_per_cell": -83.61,
  "e_form_ev_per_atom": 0.286,
  "lattice": [[-0.621, 2.744, -1.375], [-4.712, -0.424, 1.281], [7.160, 7.835, 12.399]],
  "species": ["Ti", "Ti", "Ti", "Ti", "Ti", "Ti", "Ti", "Nb", "Nb", "Bi", "Bi", "Bi"],
  "fractional_positions": [[0.000, 0.000, 0.000], [0.500, 0.975, 0.178], [0.500, 0.025, 0.822], [0.000, 0.567, 0.857], [0.500, 0.710, 0.455], [0.500, 0.290, 0.545], [0.000, 0.433, 0.143], [0.500, 0.558, 0.282], [0.500, 0.442, 0.718], [0.500, 0.500, 0.000], [0.000, 0.863, 0.628], [0.000, 0.137, 0.372]]
}

{
  "formula": "LaTb2Pa",
  "functional": "PBE",
  "state": "relaxed",
  "energy_ev_per_cell": -22.40,
  "e_form_ev_per_atom": 0.321,
  "polymorph_energy_mev_per_atom": 191.2,
  "lattice": [[-2.024, 2.691, -0.009], [-3.137, -0.258, -1.195], [-5.799, -2.220, 10.958]],
  "species": ["La", "Tb", "Tb", "Pa"],
  "fractional_positions": [[0.500, 0.500, 0.500], [0.914, 0.914, 0.258], [0.086, 0.086, 0.742], [0.000, 0.000, 0.000]]
}

Let's list volume in order: 20.130, 30.544 Å³/atom.